# 1
# Sr4SiAu PBE optimized geometry
data_Sr4SiAu
_chemical_formula_sum 'Sr16 Si4 Au4'
_symmetry_space_group_name_H-M 'F -4 3 m'
_symmetry_Int_Tables_number 216
_symmetry_space_group_name_Hall 'F -4 2 3'
_cell_length_a 9.527
_cell_length_b 9.527
_cell_length_c 9.527
_cell_angle_alpha 90.00
_cell_angle_beta 90.00
_cell_angle_gamma 90.00
loop_
_atom_site_label
_atom_site_type_symbol
_atom_site_fract_x
_atom_site_fract_y
_atom_site_fract_z
Sr1 Sr 0.124 0.124 0.376
Si1 Si 0.250 0.250 0.750
Au1 Au 0.000 0.000 0.000
# * total DFT energy (no corrections): -2.00 eV per atom
# * mass density: 4.42 g cm⁻³
# * formation energy from raw total energies: 3.4 eV/f.u.


# 2
# BiN2O2 PBE optimized geometry
data_BiN2O2
_chemical_formula_sum 'Bi1 N2 O2'
_symmetry_space_group_name_H-M 'P 4/m m m'
_symmetry_Int_Tables_number 123
_symmetry_space_group_name_Hall '-P 4 2'
_cell_length_a 3.716
_cell_length_b 3.716
_cell_length_c 3.828
_cell_angle_alpha 90.00
_cell_angle_beta 90.00
_cell_angle_gamma 90.00
loop_
_atom_site_label
_atom_site_type_symbol
_atom_site_fract_x
_atom_site_fract_y
_atom_site_fract_z
Bi1 Bi 0.000 0.000 0.000
N1 N 0.000 0.500 0.500
O1 O 0.500 0.500 0.000
O2 O 0.500 0.500 0.500
# * total DFT energy (no corrections): -4.47 eV per atom
# * excess energy over the best structure of this formula in the dataset: 2076.6 meV/atom
# * mass density: 8.45 g cm⁻³
# * formation energy from raw total energies: 8.1 eV/f.u.


# 3
# PdPtOF2 PBE optimized geometry
data_PdPtOF2
_chemical_formula_sum 'Pd1 Pt1 O1 F2'
_symmetry_space_group_name_H-M 'P 4/m m m'
_symmetry_Int_Tables_number 123
_symmetry_space_group_name_Hall '-P 4 2'
_cell_length_a 4.414
_cell_length_b 4.414
_cell_length_c 3.776
_cell_angle_alpha 90.00
_cell_angle_beta 90.00
_cell_angle_gamma 90.00
loop_
_atom_site_label
_atom_site_type_symbol
_atom_site_fract_x
_atom_site_fract_y
_atom_site_fract_z
Pd1 Pd 0.000 0.000 0.000
Pt1 Pt 0.500 0.500 0.500
O1 O 0.500 0.500 0.000
F1 F 0.000 0.500 0.500
# * total DFT energy (no corrections): -4.19 eV per atom
# * excess energy over the best structure of this formula in the dataset: 0.0 meV/atom
# * mass density: 8.02 g cm⁻³
# * formation energy from raw total energies: -1.0 eV/f.u.


# 4
# Ce6Al2FeH PBE optimized geometry
data_Ce6Al2FeH
_chemical_formula_sum 'Ce12 Al4 Fe2 H2'
_symmetry_space_group_name_H-M 'C 1 2/m 1'
_symmetry_Int_Tables_number 12
_symmetry_space_group_name_Hall '-C 2y'
_cell_length_a 9.713
_cell_length_b 9.737
_cell_length_c 6.890
_cell_angle_alpha 90.00
_cell_angle_beta 134.72
_cell_angle_gamma 90.00
loop_
_atom_site_label
_atom_site_type_symbol
_atom_site_fract_x
_atom_site_fract_y
_atom_site_fract_z
Ce1 Ce 0.000 0.240 0.000
Ce2 Ce 0.236 0.000 0.470
Ce3 Ce 0.243 0.000 0.001
Al1 Al 0.000 0.250 0.500
Fe1 Fe 0.000 0.500 0.000
H1 H 0.000 0.000 0.000
# * total DFT energy (no corrections): -5.62 eV per atom
# * mass density: 6.83 g cm⁻³


no.,magnetization (μB/cell)
1,0.0
2,0.0
3,0.1
4,1.8